<i>
ReOsSe2 | Alexandria via LeMat-Bulk | GGA-PBE | relaxed; total moment = 0.000 μB/atom; DOS(E_F) = 3.73 states/eV/f.u.; calculated volume = 19.55 Å³/atom; SG = Pm (6)
1.0
4.040 0.000 0.000
0.000 2.920 0.012
0.000 1.716 6.637
Os Re Se
1 1 2
Cartesian
0.000 2.074 3.637 Os
2.020 3.640 4.679 Re
0.000 1.609 6.050 Se
2.020 1.347 2.244 Se

***

<ii>
ReOsSe2 | Alexandria via LeMat-Bulk | GGA-PBE | relaxed; total moment = 0.000 μB/atom; DOS(E_F) = 3.12 states/eV/f.u.; calculated volume = 16.21 Å³/atom; SG = Imm2 (44)
1.0
-2.379 -3.992 3.113
-1.124 -5.103 -1.996
3.722 4.003 1.187
Re Os Se
1 1 2
Cartesian
0.390 -2.909 -0.115 Re
-1.721 -4.468 0.548 Os
-0.127 -2.068 2.404 Se
-0.075 -0.195 0.024 Se

***

So which one is most stable? That would be <i>, about 35.9 kJ/mol of atoms below the next structure.

***

<i>
ReOsSe2 | Alexandria via LeMat-Bulk | GGA-PBE | relaxed; total moment = 0.000 μB/atom; DOS(E_F) = 1.41 states/eV/f.u.; calculated volume = 18.41 Å³/atom; SG = P4mm (99)
1.0
2.933 0.000 0.000
0.000 2.933 0.000
0.000 0.000 8.560
Os Se Re
1 2 1
Cartesian
0.000 0.000 4.419 Os
0.000 0.000 7.866 Se
1.467 1.467 2.812 Se
1.467 1.467 6.303 Re

***

<ii>
ReOsSe2 | Alexandria via LeMat-Bulk | GGA-PBE | relaxed; total moment = 0.140 μB/atom; DOS(E_F) = 3.19 states/eV/f.u.; calculated volume = 23.07 Å³/atom; SG = Immm (71)
1.0
-5.336 -4.352 -1.132
-1.564 -4.702 -4.913
4.755 2.625 4.380
Se Re Os
2 1 1
Cartesian
-0.797 -1.046 -0.698 Se
-2.653 -3.481 -2.325 Se
-0.129 -3.302 -1.778 Re
-2.015 -3.127 0.113 Os

***

<iii>
ReOsSe2 | Alexandria via LeMat-Bulk | GGA-PBE | relaxed; total moment = 0.000 μB/atom; DOS(E_F) = 2.40 states/eV/f.u.; calculated volume = 19.15 Å³/atom; SG = R3m (160)
1.0
-6.691 -5.216 -5.021
-7.375 -6.149 -2.232
-8.567 -3.590 -3.302
Se Re Os
2 1 1
Cartesian
-5.085 -3.360 -2.371 Se
-0.576 -0.381 -0.269 Se
-17.046 -11.263 -7.949 Re
-11.242 -7.428 -5.243 Os

***

<iv>
ReOsSe2 | Alexandria via LeMat-Bulk | GGA-PBE | relaxed; total moment = 0.000 μB/atom; DOS(E_F) = 2.09 states/eV/f.u.; calculated volume = 15.61 Å³/atom; SG = C2/m (12)
1.0
4.316 -0.002 -0.006
3.262 2.826 -0.006
1.013 0.378 5.116
Re Se Os
1 2 1
Cartesian
2.148 0.800 1.276 Re
7.532 2.807 0.010 Se
4.342 1.618 2.530 Se
6.444 2.401 3.828 Os

***

So which one is most stable? That would be <i>, about 5.0 kJ/mol of atoms below the next structure.

***

<i>
ReOsSe2 | Alexandria via LeMat-Bulk | GGA-PBE | relaxed; total moment = 0.000 μB/atom; DOS(E_F) = 1.44 states/eV/f.u.; calculated volume = 23.37 Å³/atom; SG = Cm (8)
1.0
-4.735 1.618 -0.521
-3.899 0.218 -3.173
-2.708 -5.349 1.971
Se Re Os
2 1 1
Cartesian
-3.388 -1.319 -0.373 Se
-2.821 -4.627 1.553 Se
-7.989 -2.093 -1.416 Re
-5.521 -2.580 -0.380 Os

***

<ii>
ReOsSe2 | Alexandria via LeMat-Bulk | GGA-PBE | relaxed; total moment = 0.000 μB/atom; DOS(E_F) = 4.19 states/eV/f.u.; calculated volume = 16.23 Å³/atom; SG = Cmmm (65)
1.0
-0.653 0.306 -2.766
1.706 -2.160 0.771
-7.236 -5.314 1.120
Se Os Re
2 1 1
Cartesian
-7.220 -5.302 1.118 Se
-3.634 -2.669 0.563 Se
-1.283 -2.256 -0.718 Os
-4.901 -4.913 -0.157 Re

***

So which one is most stable? That would be <i>, about 67.7 kJ/mol of atoms below the next structure.

***

<i>
ReOsSe2 | Alexandria via LeMat-Bulk | GGA-PBE | relaxed; total moment = 0.000 μB/atom; DOS(E_F) = 2.67 states/eV/f.u.; calculated volume = 19.36 Å³/atom; SG = Pmm2 (25)
1.0
2.987 0.000 0.000
0.000 3.913 0.000
0.000 0.000 6.627
Se Os Re
2 1 1
Cartesian
0.000 0.000 5.960 Se
1.493 1.956 2.329 Se
0.000 0.000 3.547 Os
1.493 1.956 4.731 Re

***

<ii>
ReOsSe2 | Alexandria via LeMat-Bulk | GGA-PBE | relaxed; total moment = 0.000 μB/atom; DOS(E_F) = 3.41 states/eV/f.u.; calculated volume = 17.01 Å³/atom; SG = P2/m (10)
1.0
4.323 0.000 0.000
0.000 3.973 -0.014
0.000 0.625 3.958
Se Re Os
2 1 1
Cartesian
0.000 4.587 3.938 Se
0.000 2.310 1.979 Se
2.162 3.449 2.958 Re
2.162 1.150 0.986 Os

***

<iii>
ReOsSe2 | Alexandria via LeMat-Bulk | GGA-PBE | relaxed; total moment = 0.000 μB/atom; DOS(E_F) = 4.03 states/eV/f.u.; calculated volume = 15.35 Å³/atom; SG = Fm-3m (225)
1.0
-1.855 1.433 3.757
-2.844 3.393 -0.089
-4.307 -0.701 0.751
Re Se Os
1 2 1
Cartesian
0.000 0.000 0.000 Re
-6.754 3.094 3.314 Se
-2.251 1.031 1.105 Se
-4.503 2.063 2.209 Os

***

<iv>
ReOsSe2 | Alexandria via LeMat-Bulk | GGA-PBE | relaxed; total moment = 0.000 μB/atom; DOS(E_F) = 3.09 states/eV/f.u.; calculated volume = 17.00 Å³/atom; SG = Fmmm (69)
1.0
4.002 -0.003 -0.005
-1.686 4.733 0.005
0.630 1.647 3.590
Se Os Re
2 1 1
Cartesian
0.000 0.000 0.000 Se
2.316 0.822 1.792 Se
-0.528 3.190 1.797 Os
1.158 2.365 0.000 Re

***

So which one is most stable? That would be <i>, about 34.4 kJ/mol of atoms below the next structure.

***

<i>
ReOsSe2 | Alexandria via LeMat-Bulk | GGA-PBE | relaxed; total moment = 0.000 μB/atom; DOS(E_F) = 2.89 states/eV/f.u.; calculated volume = 15.39 Å³/atom; SG = P4/mmm (123)
1.0
3.135 0.000 0.000
0.000 3.135 0.000
0.000 0.000 6.262
Re Os Se
1 1 2
Cartesian
1.568 1.568 4.696 Re
1.568 1.568 1.565 Os
0.000 0.000 3.153 Se
0.000 0.000 6.240 Se

***

<ii>
ReOsSe2 | Alexandria via LeMat-Bulk | GGA-PBE | relaxed; total moment = 0.000 μB/atom; DOS(E_F) = 1.36 states/eV/f.u.; calculated volume = 21.05 Å³/atom; SG = I-42d (122)
1.0
-5.018 1.751 1.472
-1.979 -5.103 -0.673
-2.345 -2.821 5.692
Re Se Os
2 4 2
Cartesian
-3.498 -1.676 0.399 Re
-3.911 -4.800 2.709 Re
-4.381 -3.369 4.569 Se
-7.882 -5.052 4.968 Se
-2.447 -3.677 1.185 Se
-3.973 -0.248 2.260 Se
0.000 0.000 0.000 Os
-5.430 -1.373 3.782 Os

***

So which one is most stable? That would be <ii>, about 3.1 kJ/mol of atoms below the next structure.

***

<i>
Re3OsSe | Alexandria via LeMat-Bulk | GGA-PBE | relaxed; total moment = 0.219 μB/atom; DOS(E_F) = 7.33 states/eV/f.u.; calculated volume = 21.31 Å³/atom; SG = Pm-3m (221)
1.0
4.740 0.000 0.000
0.000 4.740 0.000
0.000 0.000 4.740
Re Os Se
3 1 1
Cartesian
0.000 0.000 2.370 Re
2.370 0.000 0.000 Re
0.000 2.370 0.000 Re
0.000 0.000 0.000 Os
2.370 2.370 2.370 Se

***

<ii>
Re3OsSe | Alexandria via LeMat-Bulk | GGA-PBE | relaxed; total moment = 0.000 μB/atom; DOS(E_F) = 8.92 states/eV/f.u.; calculated volume = 17.76 Å³/atom; SG = Pm-3m (221)
1.0
-4.084 -0.905 1.552
-0.724 -2.699 -3.478
1.645 -3.436 2.324
Os Re Se
1 3 1
Cartesian
-1.582 -3.520 0.199 Os
-0.362 -1.350 -1.739 Re
-2.042 -0.453 0.776 Re
0.822 -1.718 1.162 Re
0.000 0.000 0.000 Se

***

So which one is most stable? That would be <ii>, about 27.0 kJ/mol of atoms below the next structure.

***

<i>
ReSn2Os | Alexandria via LeMat-Bulk | GGA-PBE | relaxed; total moment = 0.000 μB/atom; DOS(E_F) = 3.22 states/eV/f.u.; calculated volume = 17.34 Å³/atom; SG = Fm-3m (225)
1.0
0.000 3.261 3.261
3.261 0.000 3.261
3.261 3.261 0.000
Sn Re Os
2 1 1
Cartesian
4.892 4.892 4.892 Sn
1.631 1.631 1.631 Sn
0.000 0.000 0.000 Re
3.261 3.261 3.261 Os

***

<ii>
ReSn2Os | Alexandria via LeMat-Bulk | GGA-PBE | relaxed; total moment = 0.000 μB/atom; DOS(E_F) = 4.37 states/eV/f.u.; calculated volume = 19.77 Å³/atom; SG = I-42d (122)
1.0
-4.808 0.029 -5.877
4.848 -4.274 -3.987
-1.181 -4.390 -3.961
Os Re Sn
2 2 4
Cartesian
0.000 0.000 0.000 Os
-2.985 -3.241 -7.386 Os
1.843 -5.393 -6.440 Re
0.020 -2.122 -4.932 Re
-0.921 -4.840 -6.629 Sn
2.184 -3.765 -4.156 Sn
-2.744 -1.613 -5.223 Sn
-0.801 -7.051 -11.644 Sn

***

So which one is most stable? That would be <i>, about 62.0 kJ/mol of atoms below the next structure.

***

<i>
ReSnOs3 | Alexandria via LeMat-Bulk | GGA-PBE | relaxed; total moment = 0.468 μB/atom; DOS(E_F) = 4.90 states/eV/f.u.; calculated volume = 21.13 Å³/atom; SG = Pm-3m (221)
1.0
4.727 0.000 0.000
0.000 4.727 0.000
0.000 0.000 4.727
Os Re Sn
3 1 1
Cartesian
0.000 2.364 0.000 Os
2.364 0.000 0.000 Os
0.000 0.000 2.364 Os
2.364 2.364 2.364 Re
0.000 0.000 0.000 Sn

***

<ii>
ReSnOs3 | Alexandria via LeMat-Bulk | GGA-PBE | relaxed; total moment = 0.000 μB/atom; DOS(E_F) = 7.52 states/eV/f.u.; calculated volume = 21.42 Å³/atom; SG = Pm-3m (221)
1.0
4.749 0.000 0.000
0.000 4.749 0.000
0.000 0.000 4.749
Os Sn Re
3 1 1
Cartesian
0.000 0.000 2.375 Os
2.375 0.000 0.000 Os
0.000 2.375 0.000 Os
2.375 2.375 2.375 Sn
0.000 0.000 0.000 Re

***

So which one is most stable? That would be <ii>, about 106.7 kJ/mol of atoms below the next structure.